Entry 1:
Entry from Alexandria via LeMat-Bulk: an optimized crystal structure of Ba3In4 (PBE).

```
Ba3In4
1.0
-2.2641 -3.4820 2.7723
6.5717 0.9538 2.0724
-5.0051 11.6321 10.5221
Ba In
6 8
direct
0.7205 0.4419 0.0988 Ba
0.2819 0.5633 0.9019 Ba
0.7203 0.4413 0.4020 Ba
0.2816 0.5626 0.5988 Ba
0.0172 0.0351 0.2504 Ba
0.9850 0.9692 0.7503 Ba
0.3011 0.6035 0.2504 In
0.7014 0.4009 0.7503 In
0.4341 0.8689 0.0962 In
0.0011 0.0022 0.0002 In
0.4336 0.8676 0.4047 In
0.5684 0.1366 0.9045 In
0.0021 0.0040 0.4999 In
0.5679 0.1352 0.5963 In
```

Calculated values
Energy of formation from the pure elements   -0.37 eV/atom
D(E_F)   1.065 states/eV/atom
Calculated density   5.42 g/cm3

***

Entry 2:
Entry from Alexandria via LeMat-Bulk: an optimized crystal structure of Cs2In3Hg5 (PBE).

```
Cs2In3Hg5
1.0
7.6337 0.0000 0.0000
3.8168 9.6007 0.3507
3.8168 1.8274 9.4317
Cs In Hg
4 6 10
direct
0.1370 0.5970 0.1291 Cs
0.6370 0.1291 0.5970 Cs
0.8630 0.4030 0.8709 Cs
0.3630 0.8709 0.4030 Cs
0.3644 0.5431 0.7282 In
0.8644 0.7282 0.5431 In
0.6356 0.4569 0.2718 In
0.1356 0.2718 0.4569 In
0.2500 0.0000 0.0000 In
0.7500 0.0000 0.0000 In
0.4009 0.2570 0.9412 Hg
0.9009 0.9412 0.2570 Hg
0.5991 0.7430 0.0588 Hg
0.0991 0.0588 0.7430 Hg
0.4674 0.7826 0.7826 Hg
0.5326 0.2174 0.2174 Hg
0.7500 0.5000 0.5000 Hg
0.2500 0.5000 0.5000 Hg
0.0326 0.2174 0.2174 Hg
0.9674 0.7826 0.7826 Hg
```

Calculated values
Energy of formation from the pure elements   -0.15 eV/atom
D(E_F)   0.572 states/eV/atom
Calculated density   7.81 g/cm3

***

Entry 3:
Entry from Alexandria via LeMat-Bulk: an optimized crystal structure of Tb2CeReC4 (PBE).

```
Tb2CeReC4
1.0
3.5275 0.0000 0.0000
-1.7637 6.0707 0.0000
0.0000 0.0000 12.3087
Tb Ce Re C
4 2 2 8
direct
0.3706 0.7412 0.5394 Tb
0.6294 0.2588 0.0394 Tb
0.6294 0.2588 0.4606 Tb
0.3706 0.7412 0.9606 Tb
0.0940 0.1879 0.7500 Ce
0.9060 0.8121 0.2500 Ce
0.8317 0.6635 0.7500 Re
0.1683 0.3365 0.2500 Re
0.2662 0.5325 0.1316 C
0.7338 0.4675 0.6316 C
0.7338 0.4675 0.8684 C
0.2662 0.5325 0.3684 C
0.0000 0.0000 0.5000 C
0.0000 0.0000 0.0000 C
0.4185 0.8371 0.7500 C
0.5815 0.1629 0.2500 C
```

Calculated values
Energy of formation from the pure elements   -0.05 eV/atom
D(E_F)   0.704 states/eV/atom
Calculated density   8.72 g/cm3